Here is an optimized crystal structure of TlTeI2O from Alexandria. Energies are from PBE.

Computed properties:
Symmetry: P4/mmm (123)
E above lowest polymorph, eV/atom: 0.000
Formation energy (no corrections), eV/atom: -0.42
Calculated volume, Å³ per cell: 166.3

Unit cell a=6.3457 b=6.3457 c=4.1298 alpha=90.00 beta=90.00 gamma=90.00
Atoms (fractional coordinates):
I  0.0000  0.5000  0.0000
I  0.5000  0.0000  0.0000
Tl  0.5000  0.5000  0.5000
Te  0.0000  0.0000  0.0000
O  0.0000  0.0000  0.5000

Here is an optimized crystal structure of Sr3Ac2PaP6 from Alexandria. Energies are from PBE.

Computed properties:
Symmetry: C2/m (12)
Energy, eV for the cell shown: -69.77
Calculated volume, Å³ per cell: 348.0

Unit cell a=7.5489 b=7.5489 c=7.4974 alpha=99.74 beta=99.74 gamma=120.03
Atoms (fractional coordinates):
Sr  0.1695  0.8305  0.5000
Sr  0.8305  0.1695  0.5000
Sr  0.5000  0.5000  0.5000
Ac  0.3335  0.6665  0.0000
Ac  0.6665  0.3335  0.0000
Pa  0.0000  0.0000  0.0000
P  0.9238  0.6172  0.7711
P  0.7712  0.7712  0.2268
P  0.0762  0.3828  0.2289
P  0.6172  0.9238  0.7711
P  0.2288  0.2288  0.7732
P  0.3828  0.0762  0.2289

Here is an optimized crystal structure of Pm2PrSm2Er2 from Alexandria. Energies are from PBE.

Computed properties:
Symmetry: C2/m (12)
Energy, eV for the cell shown: -32.73
Calculated volume, Å³ per cell: 233.2

Unit cell a=5.1063 b=6.2430 c=8.0966 alpha=97.40 beta=90.00 gamma=114.14
Atoms (fractional coordinates):
Pm  0.1432  0.2865  0.4297
Pm  0.8568  0.7135  0.5703
Pr  0.0000  0.0000  0.0000
Sm  0.5717  0.1434  0.7163
Sm  0.4283  0.8566  0.2837
Er  0.7149  0.4298  0.1418
Er  0.2851  0.5702  0.8582

Here is an optimized crystal structure of TlReMo2 from Alexandria. Energies are from PBE.

Computed properties:
Symmetry: P4mm (99)
E above lowest polymorph, eV/atom: 0.158
Calculated volume, Å³ per cell: 70.9

Unit cell a=3.0615 b=3.0615 c=7.5624 alpha=90.00 beta=90.00 gamma=90.00
Atoms (fractional coordinates):
Mo  0.0000  0.0000  0.0362
Mo  0.5000  0.5000  0.2599
Re  0.0000  0.0000  0.4563
Tl  0.5000  0.5000  0.7476

The lowest calculated volume belongs to which entry?
TlReMo2